Compound: TaInAs2
Source: the Alexandria database
Functional: SCAN
Structure: single point on PBEsol structure

Cell lengths 3.3293, 3.3293, 6.9777 Å; angles 90.00, 90.00, 90.00 degrees
With the nearest neighbours (Å) after each atom.
Space group P4mm (No. 99)
Symmetry-distinct sites (fractional):
Ta  0.0000  0.0000  0.0000 (multiplicity 1)  5 As 2.59-2.83
In  0.5000  0.5000  0.7154 (multiplicity 1)  5 As 3.07-3.20, 4 Ta 3.08, 4 In 3.33
As  0.0000  0.0000  0.4054 (multiplicity 1)  1 Ta 2.83, 4 As 2.93
As  0.5000  0.5000  0.1557 (multiplicity 1)  4 Ta 2.59

Total moment = 0.0 μB/f.u.
Total DFT energy (no corrections) = -139.867 eV per cell
Formation energy = 0.121 eV/atom
N(E_F) = 1.9 states/eV/f.u.
ρ = 9.57 Mg/m³
Crystal system = tetragonal